The following is a DFT calculation (GGA-PBE) of an optimized crystal structure of B2C.

```
B2C
1.0
6.706 -1.194 0.000
6.706 1.194 0.000
-0.931 0.000 5.283
B C
8 4
direct
0.030 0.030 0.365
0.299 0.299 0.830
0.300 0.300 0.245
0.375 0.375 0.541
0.625 0.625 0.459
0.700 0.700 0.755
0.701 0.701 0.170
0.970 0.970 0.635
0.041 0.041 0.905
0.393 0.393 0.056
0.607 0.607 0.944
0.959 0.959 0.095
```

Calculated values
The value obtained for the energy of formation is 11.4 kcal/mol of atoms. Its density of states at the Fermi level is 2.08 states/eV/cell.


The following is a DFT calculation (GGA-PBE) of an optimized crystal structure of Sc2BeMo.

```
Sc2BeMo
1.0
3.219 0.000 0.000
0.000 3.219 0.000
0.000 0.000 7.076
Sc Be Mo
2 1 1
direct
0.000 0.000 0.000
0.500 0.500 0.382
0.000 0.000 0.616
0.500 0.500 0.748
```

Calculated values
The value obtained for the energy of formation is 1.8 kcal/mol of atoms. Its density of states at the Fermi level is 3.85 states/eV/cell.